MnTcO3 | GGA+U | relaxed

Cell and atoms, written as POSCAR:
```
MnTcO3
1.0
3.776 0.000 0.000
0.000 3.776 0.000
0.000 0.000 3.776
Mn Tc O
1 1 3
Cartesian
0.000 0.000 0.000
1.888 1.888 1.888
0.000 0.000 1.888
0.000 1.888 0.000
1.888 0.000 0.000
```

volume	53.8	Å³/cell
SG	Pm-3m
DOS at the Fermi energy	5.71	states/eV per cell
final energy	-35.0	eV for the cell shown